[1]
# BeFeTc2B | Alexandria via LeMat-Bulk | PBE | relaxed
# - energy of formation (eV/atom) = 0.298
# - VASP energy (eV for the cell shown) = -38.1
data_BeFeTc2B
_cell_length_a 4.071
_cell_length_b 4.071
_cell_length_c 3.741
_cell_angle_alpha 90.00
_cell_angle_beta 90.00
_cell_angle_gamma 90.00
_symmetry_space_group_name_H-M 'P 4/m m m'
_symmetry_Int_Tables_number 123
_symmetry_space_group_name_Hall '-P 4 2'
loop_
_atom_site_label
_atom_site_type_symbol
_atom_site_fract_x
_atom_site_fract_y
_atom_site_fract_z
_atom_site_occupancy
Be1 Be 0.000 0.000 0.000 1
Fe1 Fe 0.500 0.500 0.000 1
Tc1 Tc 0.000 0.500 0.500 1
B1 B 0.500 0.500 0.500 1

[2]
# TmBeFeB2 | Alexandria via LeMat-Bulk | PBE | relaxed
# - energy of formation (eV/atom) = -0.338
# - VASP energy (eV for the cell shown) = -63.4
data_TmBeFeB2
_cell_length_a 3.394
_cell_length_b 3.394
_cell_length_c 9.489
_cell_angle_alpha 90.00
_cell_angle_beta 90.00
_cell_angle_gamma 90.00
_symmetry_space_group_name_H-M 'I -4 m 2'
_symmetry_Int_Tables_number 119
_symmetry_space_group_name_Hall 'I -4 -2'
loop_
_atom_site_label
_atom_site_type_symbol
_atom_site_fract_x
_atom_site_fract_y
_atom_site_fract_z
_atom_site_occupancy
Tm1 Tm 0.000 0.000 0.000 1
Be1 Be 0.000 0.500 0.750 1
Fe1 Fe 0.000 0.500 0.250 1
B1 B 0.000 0.000 0.365 1

[3]
# Tm2Be12FeB3 | Alexandria via LeMat-Bulk | PBE | relaxed
# - energy of formation (eV/atom) = 0.332
# - VASP energy (eV for the cell shown) = -228.5
data_Tm2Be12FeB3
_cell_length_a 6.6313
_cell_length_b 6.6313
_cell_length_c 16.9651
_cell_angle_alpha 90.00
_cell_angle_beta 90.00
_cell_angle_gamma 120.00
_symmetry_space_group_name_H-M 'R -3 m'
_symmetry_Int_Tables_number 166
_symmetry_space_group_name_Hall '-R 3 2"'
loop_
_atom_site_label
_atom_site_type_symbol
_atom_site_fract_x
_atom_site_fract_y
_atom_site_fract_z
_atom_site_occupancy
Tm1 Tm 0.0000 0.0000 0.0941 1
Be1 Be 0.0607 0.5303 0.8929 1
Be2 Be 0.1066 0.5533 0.3165 1
Fe1 Fe 0.0000 0.0000 0.5000 1
B1 B 0.0000 0.5000 0.0000 1

[4]
# Tm2BeFe5B2 | Alexandria via LeMat-Bulk | PBE | relaxed
# - energy of formation (eV/atom) = -0.144
# - VASP energy (eV for the cell shown) = -139.5
data_Tm2BeFe5B2
_cell_length_a 8.754
_cell_length_b 8.754
_cell_length_c 3.120
_cell_angle_alpha 90.00
_cell_angle_beta 90.00
_cell_angle_gamma 90.00
_symmetry_space_group_name_H-M 'P 4/m b m'
_symmetry_Int_Tables_number 127
_symmetry_space_group_name_Hall '-P 4 2ab'
loop_
_atom_site_label
_atom_site_type_symbol
_atom_site_fract_x
_atom_site_fract_y
_atom_site_fract_z
_atom_site_occupancy
Tm1 Tm 0.175 0.325 0.000 1
Be1 Be 0.000 0.000 0.000 1
Fe1 Fe 0.000 0.500 0.500 1
Fe2 Fe 0.066 0.787 0.500 1
B1 B 0.122 0.622 0.000 1

[5]
# BeVFeB2 | Alexandria via LeMat-Bulk | PBE | relaxed
# - energy of formation (eV/atom) = 0.989
# - VASP energy (eV for the cell shown) = -29.7
data_BeVFeB2
_cell_length_a 3.727
_cell_length_b 3.727
_cell_length_c 4.238
_cell_angle_alpha 90.00
_cell_angle_beta 90.00
_cell_angle_gamma 90.00
_symmetry_space_group_name_H-M 'P 4/m m m'
_symmetry_Int_Tables_number 123
_symmetry_space_group_name_Hall '-P 4 2'
loop_
_atom_site_label
_atom_site_type_symbol
_atom_site_fract_x
_atom_site_fract_y
_atom_site_fract_z
_atom_site_occupancy
Be1 Be 0.000 0.000 0.000 1
V1 V 0.500 0.500 0.000 1
Fe1 Fe 0.500 0.500 0.500 1
B1 B 0.000 0.500 0.500 1

[6]
# BeFe5B2W2 | Alexandria via LeMat-Bulk | PBE | relaxed
# - energy of formation (eV/atom) = -0.282
# - VASP energy (eV for the cell shown) = -176.2
data_BeFe5B2W2
_cell_length_a 8.515
_cell_length_b 8.515
_cell_length_c 2.789
_cell_angle_alpha 90.00
_cell_angle_beta 90.00
_cell_angle_gamma 90.00
_symmetry_space_group_name_H-M 'P 4/m b m'
_symmetry_Int_Tables_number 127
_symmetry_space_group_name_Hall '-P 4 2ab'
loop_
_atom_site_label
_atom_site_type_symbol
_atom_site_fract_x
_atom_site_fract_y
_atom_site_fract_z
_atom_site_occupancy
Be1 Be 0.000 0.000 0.000 1
Fe1 Fe 0.000 0.500 0.500 1
Fe2 Fe 0.063 0.211 0.500 1
B1 B 0.125 0.375 0.000 1
W1 W 0.178 0.678 0.000 1

[7]
# Y2BeFe5B2 | Alexandria via LeMat-Bulk | PBE | relaxed
# - energy of formation (eV/atom) = -0.046
# - VASP energy (eV for the cell shown) = -145.6
data_Y2BeFe5B2
_cell_length_a 8.859
_cell_length_b 8.859
_cell_length_c 3.151
_cell_angle_alpha 90.00
_cell_angle_beta 90.00
_cell_angle_gamma 90.00
_symmetry_space_group_name_H-M 'P 4/m b m'
_symmetry_Int_Tables_number 127
_symmetry_space_group_name_Hall '-P 4 2ab'
loop_
_atom_site_label
_atom_site_type_symbol
_atom_site_fract_x
_atom_site_fract_y
_atom_site_fract_z
_atom_site_occupancy
Y1 Y 0.176 0.324 0.000 1
Be1 Be 0.000 0.000 0.000 1
Fe1 Fe 0.000 0.500 0.500 1
Fe2 Fe 0.065 0.785 0.500 1
B1 B 0.120 0.620 0.000 1

[8]
# Be2GaB2 | Alexandria via LeMat-Bulk | PBE | relaxed
# - energy of formation (eV/atom) = 0.432
# - VASP energy (eV for the cell shown) = -43.3
data_Be2GaB2
_cell_length_a 5.471
_cell_length_b 5.471
_cell_length_c 3.079
_cell_angle_alpha 90.00
_cell_angle_beta 90.00
_cell_angle_gamma 90.00
_symmetry_space_group_name_H-M 'P 4/m b m'
_symmetry_Int_Tables_number 127
_symmetry_space_group_name_Hall '-P 4 2ab'
loop_
_atom_site_label
_atom_site_type_symbol
_atom_site_fract_x
_atom_site_fract_y
_atom_site_fract_z
_atom_site_occupancy
Be1 Be 0.148 0.352 0.000 1
Ga1 Ga 0.000 0.000 0.500 1
B1 B 0.105 0.605 0.500 1

[9]
# BeGaB3 | Alexandria via LeMat-Bulk | PBE | relaxed
# - energy of formation (eV/atom) = 1.508
# - VASP energy (eV for the cell shown) = -19.2
# - E above lowest polymorph (eV/atom) = 0.0000
data_BeGaB3
_cell_length_a 3.740
_cell_length_b 3.740
_cell_length_c 3.740
_cell_angle_alpha 90.00
_cell_angle_beta 90.00
_cell_angle_gamma 90.00
_symmetry_space_group_name_H-M 'P m -3 m'
_symmetry_Int_Tables_number 221
_symmetry_space_group_name_Hall '-P 4 2 3'
loop_
_atom_site_label
_atom_site_type_symbol
_atom_site_fract_x
_atom_site_fract_y
_atom_site_fract_z
_atom_site_occupancy
Be1 Be 0.000 0.000 0.000 1
Ga1 Ga 0.500 0.500 0.500 1
B1 B 0.000 0.000 0.500 1

[10]
# BeGaB | Alexandria via LeMat-Bulk | PBE | relaxed
# - energy of formation (eV/atom) = 0.195
# - VASP energy (eV for the cell shown) = -25.7
data_BeGaB
_cell_length_a 3.627
_cell_length_b 3.638
_cell_length_c 6.080
_cell_angle_alpha 95.73
_cell_angle_beta 92.27
_cell_angle_gamma 98.54
_symmetry_space_group_name_H-M 'P 1'
_symmetry_Int_Tables_number 1
_symmetry_space_group_name_Hall 'P 1'
loop_
_atom_site_label
_atom_site_type_symbol
_atom_site_fract_x
_atom_site_fract_y
_atom_site_fract_z
_atom_site_occupancy
Be1 Be 0.000 0.000 0.000 1
Be2 Be 0.375 0.634 0.003 1
Ga1 Ga 0.455 0.074 0.597 1
Ga2 Ga 0.916 0.559 0.405 1
B1 B 0.521 0.150 0.958 1
B2 B 0.853 0.484 0.043 1

[11]
# BeGaB3 | Alexandria via LeMat-Bulk | PBE | relaxed
# - energy of formation (eV/atom) = 2.205
# - VASP energy (eV for the cell shown) = -15.8
# - E above lowest polymorph (eV/atom) = 0.6969
data_BeGaB3
_cell_length_a 4.093
_cell_length_b 4.093
_cell_length_c 4.093
_cell_angle_alpha 90.00
_cell_angle_beta 90.00
_cell_angle_gamma 90.00
_symmetry_space_group_name_H-M 'P m -3 m'
_symmetry_Int_Tables_number 221
_symmetry_space_group_name_Hall '-P 4 2 3'
loop_
_atom_site_label
_atom_site_type_symbol
_atom_site_fract_x
_atom_site_fract_y
_atom_site_fract_z
_atom_site_occupancy
Be1 Be 0.000 0.000 0.000 1
Ga1 Ga 0.500 0.500 0.500 1
B1 B 0.000 0.500 0.500 1

[12]
# BeGaB2 | Alexandria via LeMat-Bulk | PBE | relaxed
# - energy of formation (eV/atom) = 0.444
# - VASP energy (eV for the cell shown) = -73.3
# - E above lowest polymorph (eV/atom) = 0.0000
data_BeGaB2
_cell_length_a 3.479
_cell_length_b 3.479
_cell_length_c 12.989
_cell_angle_alpha 90.00
_cell_angle_beta 90.00
_cell_angle_gamma 90.00
_symmetry_space_group_name_H-M 'I -4 2 d'
_symmetry_Int_Tables_number 122
_symmetry_space_group_name_Hall 'I -4 2bw'
loop_
_atom_site_label
_atom_site_type_symbol
_atom_site_fract_x
_atom_site_fract_y
_atom_site_fract_z
_atom_site_occupancy
Be1 Be 0.000 0.000 0.000 1
Ga1 Ga 0.000 0.000 0.500 1
B1 B 0.106 0.250 0.125 1

Repeat the fourth record exactly.
# Tm2BeFe5B2 | Alexandria via LeMat-Bulk | PBE | relaxed
# - energy of formation (eV/atom) = -0.144
# - VASP energy (eV for the cell shown) = -139.5
data_Tm2BeFe5B2
_cell_length_a 8.754
_cell_length_b 8.754
_cell_length_c 3.120
_cell_angle_alpha 90.00
_cell_angle_beta 90.00
_cell_angle_gamma 90.00
_symmetry_space_group_name_H-M 'P 4/m b m'
_symmetry_Int_Tables_number 127
_symmetry_space_group_name_Hall '-P 4 2ab'
loop_
_atom_site_label
_atom_site_type_symbol
_atom_site_fract_x
_atom_site_fract_y
_atom_site_fract_z
_atom_site_occupancy
Tm1 Tm 0.175 0.325 0.000 1
Be1 Be 0.000 0.000 0.000 1
Fe1 Fe 0.000 0.500 0.500 1
Fe2 Fe 0.066 0.787 0.500 1
B1 B 0.122 0.622 0.000 1

Which value of VASP energy does entry 2 give?
-63.4 eV for the cell shown